(1)
Below is CuSiRuPt after structural relaxation, with properties calculated at the PBE level.

a b c (Å): 4.213 4.213 4.213
angles (deg): 60.00 60.00 60.00
Fractional coordinates of all 4 atoms:
Pt1 0.750 0.750 0.750
Cu1 0.000 0.000 0.000
Si1 0.500 0.500 0.500
Ru1 0.250 0.250 0.250

Properties
Magnetization: 0.00 μB/atom
E: -6.57 eV per atom
Space group: No. 216
Crystal system: cubic

(2)
Below is LaPm2Sn6 after structural relaxation, with properties calculated at the PBE level.

a b c (Å): 4.518 9.564 9.564
angles (deg): 43.21 76.36 76.36
Fractional coordinates of all 9 atoms:
Sn1 0.303 0.987 0.407
Sn2 0.303 0.407 0.987
Sn3 0.488 0.723 0.302
Sn4 0.689 0.025 0.597
Sn5 0.488 0.302 0.723
Sn6 0.689 0.597 0.025
Pm1 0.878 0.622 0.622
Pm2 0.111 0.389 0.389
La1 0.053 0.947 0.947

Properties
Magnetization: 0.00 μB/atom
Space group: No. 44
Calculated formation energy: -0.508 eV per atom
Crystal system: orthorhombic

(3)
Below is Ba2NaInSb after structural relaxation, with properties calculated at the PBE level.

a b c (Å): 6.711 5.694 6.711
angles (deg): 90.00 90.00 90.00
Fractional coordinates of all 5 atoms:
Ba1 0.000 0.000 0.500
Ba2 0.500 0.000 0.000
Sb1 0.000 0.000 0.000
In1 0.500 0.500 0.500
Na1 0.000 0.500 0.000

Properties
Magnetization: 0.20 μB/atom
E: -2.68 eV per atom
Space group: No. 123
Crystal system: tetragonal

(4)
Below is Pm2SbHO6 after structural relaxation, with properties calculated at the PBE level.

a b c (Å): 5.778 4.084 10.101
angles (deg): 90.00 93.91 90.00
Fractional coordinates of all 20 atoms:
H1 0.000 0.500 0.000
H2 0.500 0.000 0.500
O1 0.794 0.250 0.374
O2 0.294 0.250 0.874
O3 0.403 0.187 0.173
O4 0.903 0.313 0.673
O5 0.206 0.750 0.626
O6 0.097 0.687 0.327
O7 0.653 0.777 0.533
O8 0.597 0.813 0.827
O9 0.847 0.277 0.967
O10 0.706 0.750 0.126
O11 0.347 0.223 0.467
O12 0.153 0.723 0.033
Pm1 0.497 0.656 0.315
Pm2 0.997 0.844 0.815
Pm3 0.003 0.156 0.185
Pm4 0.503 0.344 0.685
Sb1 0.000 0.500 0.500
Sb2 0.500 0.000 0.000

Properties
Magnetization: 0.00 μB/atom
E: -6.86 eV per atom
Space group: No. 14
Crystal system: monoclinic